10
Lattice="3.2082 -8.3303 0.0000 3.2082 8.3303 0.0000 0.0000 0.0000 6.4102" Properties=species:S:1:pos:R:3 comment="PmPrHoEr2, optimized geometry, DFT PBE" vol_a3_per_fu=171.3 e_form_ev_per_atom=0.347 magmom_total_mub_per_fu=0.0 e_tot_ev_per_atom=-4.30 pbc="T T T"
Pm 3.2082 5.7249 4.8076
Pm 3.2082 -5.7249 1.6025
Pr 3.2082 2.6328 4.8076
Pr 3.2082 -2.6328 1.6025
Ho 3.2082 3.8971 1.6025
Ho 3.2082 -3.8971 4.8076
Er 1.6190 0.0000 0.0000
Er 1.6190 0.0000 3.2051
Er 4.7974 0.0000 0.0000
Er 4.7974 0.0000 3.2051